No. 1
DFT (GGA-PBE) results for an optimized crystal structure of GdPaO4.

Calculated values
Raw total energy (eV per cell): -131.01
N(E_F) (states/eV per atom): 0.000
V (Å³/cell): 160.3

Lattice parameters (Å, degrees): 6.639 6.639 6.639 131.60 131.60 70.86
Site moments in Bohr magnetons follow the coordinates.
Fractional positions:
O (0.111, 0.625, 0.986)  0.01
O (0.375, 0.889, 0.014)  0.01
O (0.111, 0.125, 0.486)  0.01
O (0.875, 0.361, 0.986)  0.01
O (0.639, 0.125, 0.014)  0.01
O (0.639, 0.625, 0.514)  0.01
O (0.875, 0.889, 0.514)  0.01
O (0.375, 0.361, 0.486)  0.01
Pa (0.750, 0.250, 0.500)  0.01
Pa (0.000, 0.000, 0.000)  0.01
Gd (0.250, 0.750, 0.500)  6.91
Gd (0.500, 0.500, 0.000)  6.91

***

No. 2
DFT (GGA-PBE) results for an optimized crystal structure of K2In6AgSn.

Calculated values
N(E_F) (states/eV per atom): 0.425
V (Å³/cell): 681.3
DFT formation energy (meV per atom): 50

Lattice parameters (Å, degrees): 7.560 7.560 14.441 74.83 74.83 60.00
Fractional positions:
In (0.649, 0.649, 0.623)
In (0.207, 0.812, 0.168)
In (0.793, 0.188, 0.832)
In (0.921, 0.351, 0.377)
In (0.351, 0.351, 0.377)
In (0.812, 0.812, 0.168)
In (0.188, 0.793, 0.832)
In (0.079, 0.649, 0.623)
In (0.812, 0.207, 0.168)
In (0.351, 0.921, 0.377)
In (0.649, 0.079, 0.623)
In (0.188, 0.188, 0.832)
Sn (0.415, 0.415, 0.754)
Sn (0.585, 0.585, 0.246)
K (0.865, 0.865, 0.405)
K (0.307, 0.307, 0.079)
K (0.693, 0.693, 0.921)
K (0.135, 0.135, 0.595)
Ag (0.000, 0.000, 0.000)
Ag (0.500, 0.500, 0.500)

***

- N(E_F) of number 1 (GdPaO4)?
  0.000 states/eV per atom

***

- What is the V in the first record?
  160.3 Å³/cell

***

- What is the N(E_F) in the second record?
  0.425 states/eV per atom

***

- Among the records above, which one has the lowest N(E_F)?
  GdPaO4